First-principles (PBE) data for an optimized crystal structure of Tb2Pr5Y5, as listed in Alexandria via LeMat-Bulk.

Output
Space-group type = C2/m
Calculated formation energy = 17 meV per atom
Distance to the lowest polymorph of the same formula = 0 meV per atom
Spin magnetization = 0.000 μB per atom

extended XYZ file:
```
12
Lattice="5.1338 0.0000 0.0000 -2.5669 7.6852 -0.4394 0.0000 -4.5519 10.5370" Properties=species:S:1:pos:R:3 pbc="T T T"
Pr 2.5669 -2.2759 5.2685
Pr 2.5669 -1.9899 10.3842
Pr 0.0000 2.9885 7.5329
Pr 0.0000 5.1232 -0.2866
Pr 2.5669 0.1449 2.5647
Y 0.0000 0.2873 5.1334
Y 0.0000 2.7170 2.4355
Y 2.5669 0.4164 7.6621
Y 2.5669 2.8461 4.9642
Y 0.0000 0.0000 0.0000
Tb 0.0000 -2.1317 7.8212
Tb 2.5669 5.2651 2.2764
```



First-principles (PBE) data for an optimized crystal structure of Tb2Pr6Y5, as listed in Alexandria via LeMat-Bulk.

Output
Space-group type = Pbam
Calculated formation energy = 99 meV per atom
Spin magnetization = 0.000 μB per atom

extended XYZ file:
```
26
Lattice="3.6661 0.0000 0.0000 0.0000 11.8022 0.0000 0.0000 0.0000 20.8243" Properties=species:S:1:pos:R:3 pbc="T T T"
Pr 0.0000 0.9651 7.6187
Pr 0.0000 6.8662 2.7935
Pr 0.0000 6.6367 8.7707
Pr 0.0000 0.7356 1.6415
Pr 1.8330 2.0403 13.2039
Pr 0.0000 5.1655 12.0536
Pr 1.8330 9.7619 7.6204
Pr 1.8330 3.8608 2.7917
Pr 1.8330 7.9414 18.0326
Pr 0.0000 10.8371 13.2056
Pr 0.0000 11.0666 19.1829
Pr 0.0000 4.9360 18.0309
Y 1.8330 0.0000 10.4122
Y 1.8330 9.4645 1.1980
Y 1.8330 5.9011 0.0000
Y 1.8330 4.8115 15.1017
Y 1.8330 6.9907 5.7227
Y 1.8330 1.0896 4.6895
Y 1.8330 2.3377 19.6263
Y 1.8330 10.7126 16.1348
Y 1.8330 3.5634 9.2142
Y 1.8330 8.2388 11.6101
Tb 0.0000 9.8331 4.4058
Tb 0.0000 7.8702 14.8179
Tb 0.0000 3.9320 6.0064
Tb 0.0000 1.9691 16.4185
```